4
Lattice="5.7266 -0.0020 -0.0642 4.5562 3.4692 -0.0642 1.0641 0.3588 7.9019" Properties=species:S:1:pos:R:3 comment="K2TlZn, optimized geometry, DFT GGA-PBE" de_polymorph_ev_per_atom=0.178 vol_a3_per_atom=39.33 formation_energy_ev_per_atom=0.18 pbc="T T T"
K 5.7121 1.9260 3.8286
K 10.2442 3.4541 -0.0702
Zn 2.8367 0.9565 1.9434
Tl 8.5102 2.8695 5.8301

---

5
Lattice="-0.4701 -4.3383 2.1564 2.5860 1.6073 3.7975 -5.8718 1.1928 6.6131" Properties=species:S:1:pos:R:3 comment="K2Tl2Zn, optimized geometry, DFT GGA-PBE" de_polymorph_ev_per_atom=0.287 vol_a3_per_atom=39.01 formation_energy_ev_per_atom=0.32 pbc="T T T"
K -1.1139 0.7173 6.6938
K -2.6420 -2.2555 5.8732
Tl -0.1775 -0.9094 3.6252
Tl -3.5784 -0.6288 8.9418
Zn 0.0000 0.0000 0.0000